[1]
SnAu2N: optimized geometry, PBE-GGA.

Results
ΔE_f (raw) = 4.1 eV per formula unit
volume = 17.3 A^3/atom
distance to the lowest polymorph of the same formula = 1.51 eV/f.u.
theoretical density = 12.7 g/cm3
E_tot = -3.69 eV per atom
symmetry = No. 225
crystal system = cubic

Cell lengths 4.6061, 4.6061, 4.6061 Å; angles 60.00, 60.00, 60.00 degrees
Fractional positions:
1 Au 0.2500 0.2500 0.2500
2 Sn 0.5000 0.5000 0.5000
3 N 0.0000 0.0000 0.0000
4 Au 0.7500 0.7500 0.7500

[2]
YErBr: optimized geometry, PBE-GGA.

Results
ΔE_f (raw) = -2.2 eV per formula unit
volume = 28.7 A^3/atom
distance to the lowest polymorph of the same formula = 0.00 eV/f.u.
theoretical density = 6.5 g/cm3
E_tot = -4.97 eV per atom
symmetry = No. 156
crystal system = trigonal

Cell lengths 3.7132, 3.7132, 7.2189 Å; angles 90.00, 90.00, 120.00 degrees
Site moments in Bohr magnetons follow the coordinates.
Fractional positions:
1 Er 0.0000 0.0000 0.0148  0.09
2 Br 0.6667 0.3333 0.3333  0.00
3 Y 0.3333 0.6667 0.6519  0.05

[3]
NaAlRu3: optimized geometry, PBE-GGA.

Results
volume = 17.6 A^3/atom
distance to the lowest polymorph of the same formula = 4.73 eV/f.u.
calculated formation energy = 2105 meV per atom
theoretical density = 6.7 g/cm3
E_tot = -4.47 eV per atom
symmetry = No. 221
crystal system = cubic

Cell lengths 4.4488, 4.4488, 4.4488 Å; angles 90.00, 90.00, 90.00 degrees
Site moments in Bohr magnetons follow the coordinates.
Fractional positions:
1 Ru 0.0000 0.0000 0.5000  0.89
2 Ru 0.0000 0.5000 0.0000  0.88
3 Ru 0.5000 0.0000 0.0000  0.65
4 Na 0.0000 0.0000 0.0000  0.00
5 Al 0.5000 0.5000 0.5000  -0.03

[4]
RbThBi2: optimized geometry, PBE-GGA.

Results
volume = 42.8 A^3/atom
distance to the lowest polymorph of the same formula = 0.09 eV/f.u.
calculated formation energy = -370 meV per atom
theoretical density = 7.1 g/cm3
E_tot = -4.41 eV per atom
symmetry = No. 166
crystal system = trigonal

Cell lengths 4.7191, 4.7191, 9.2836 Å; angles 75.28, 75.28, 60.00 degrees
Fractional positions:
1 Bi 0.2666 0.2666 0.2002
2 Bi 0.7334 0.7334 0.7998
3 Th 0.0000 0.0000 0.0000
4 Rb 0.5000 0.5000 0.5000